Entry 1:
PmGd2Lu | the Alexandria database | GGA-PBE | optimized geometry; calculated total energy = -9.327 eV/atom; E_form = 0.12 eV/f.u.; relative energy among the computed polymorphs = 0.008 eV per atom; crystal system = tetragonal; D(E_F) = 7.700 states/eV/cell
1.0
3.575 0.000 0.000
0.000 3.575 0.000
0.000 0.000 10.053
Gd Pm Lu
2 1 1
Direct
0.000 0.000 0.756 Gd
0.000 0.000 0.244 Gd
0.500 0.500 0.500 Pm
0.500 0.500 0.000 Lu

***

Entry 2:
PmGd2Lu | the Alexandria database | GGA-PBE | optimized geometry; calculated total energy = -9.258 eV/atom; E_form = 0.40 eV/f.u.; relative energy among the computed polymorphs = 0.077 eV per atom; crystal system = cubic; D(E_F) = 6.104 states/eV/cell
1.0
5.681 0.000 0.000
2.841 4.920 0.000
2.841 1.640 4.639
Pm Gd Lu
1 2 1
Direct
0.000 0.000 0.000 Pm
0.750 0.750 0.750 Gd
0.250 0.250 0.250 Gd
0.500 0.500 0.500 Lu